# Li2Fe5Si4O14 (PBE with a Hubbard U, optimized geometry)
data_Li2Fe5Si4O14
_space_group_name_H-M_alt 'P -1'
_space_group_IT_number 2
_cell_length_a 5.5413
_cell_length_b 7.5656
_cell_length_c 8.0889
_cell_angle_alpha 114.84
_cell_angle_beta 91.58
_cell_angle_gamma 104.28
loop_
_space_group_symop_operation_xyz
'x,y,z'
'-x,-y,-z'
loop_
_atom_site_label
_atom_site_type_symbol
_atom_site_fract_x
_atom_site_fract_y
_atom_site_fract_z
_atom_site_occupancy
Li1 Li 0.2307 0.1014 0.4551 1
Fe1 Fe 0.0000 0.0000 0.0000 1
Fe2 Fe 0.0749 0.3879 0.8103 1
Fe3 Fe 0.3621 0.4175 0.2956 1
Si1 Si 0.2109 0.7894 0.6086 1
Si2 Si 0.4997 0.2226 0.8620 1
O1 O 0.0218 0.1856 0.2682 1
O2 O 0.1176 0.8193 0.4310 1
O3 O 0.2076 0.6608 0.0397 1
O4 O 0.3026 0.5864 0.5617 1
O5 O 0.3134 0.2282 0.0177 1
O6 O 0.4057 0.3228 0.7342 1
O7 O 0.4732 0.9797 0.7238 1
# VASP energy in hartree per atom: -0.2610
# D(E_F) in states/eV/f.u.: 0.00